The following is a DFT calculation (PBE) of CaCeNiPt after structural relaxation.

Values from the calculation:
DFT total energy   -21.97 eV per cell
Formation energy from the elements   -0.55 eV per atom
Calculated volume   85 Å³/cell

a = 4.927 Å, b = 4.927 Å, c = 4.927 Å
α = 60.00°, β = 60.00°, γ = 60.00°
Atoms (fractional coordinates):
Ca  0.000  0.000  0.000
Ce  0.500  0.500  0.500
Ni  0.750  0.750  0.750
Pt  0.250  0.250  0.250